1.
# LaZrTc2Os

LaZrTc2Os after structural relaxation (PBE, Alexandria).

total DFT energy (no corrections)	-8.0097	eV/atom
energy relative to the elements	1.078	eV per atom
V	118	Å³/f.u.

The structure in POSCAR format:
```
LaZrTc2Os
1.0
-1.999 -4.100 -1.505
3.771 -0.577 -3.436
2.575 -2.443 3.236
Zr Os La Tc
1 1 1 2
Cartesian
2.173 -3.560 -0.853
0.000 0.000 0.000
1.885 -0.288 -1.718
1.287 -1.222 1.618
-0.999 -2.050 -0.753
```

2.
# La2TeOs

La2TeOs after structural relaxation (PBE, Alexandria).

total DFT energy (no corrections)	-6.6630	eV/atom
formation energy without anion corrections	-0.606	eV per atom
V	108	Å³/f.u.

The structure in POSCAR format:
```
La2TeOs
1.0
3.694 0.072 0.000
-0.376 3.675 0.000
0.000 0.000 7.921
Os La Te
1 2 1
Cartesian
1.659 1.874 1.980
0.000 0.000 0.232
0.000 0.000 3.729
1.659 1.874 5.940
```

3.
# La4Te3Os

La4Te3Os after structural relaxation (PBE, Alexandria).

total DFT energy (no corrections)	-6.2629	eV/atom
formation energy without anion corrections	-1.217	eV per atom
V	265	Å³/f.u.

The structure in POSCAR format:
```
La4Te3Os
1.0
7.681 -0.023 0.000
-2.720 7.605 0.000
0.000 0.000 9.091
La Te Os
8 6 2
Cartesian
7.079 1.604 0.979
1.723 5.967 0.979
2.966 1.698 3.077
6.806 1.687 6.014
3.238 1.615 8.112
-1.845 5.896 3.077
1.995 5.884 6.014
-2.117 5.979 8.112
1.920 -0.006 5.613
5.761 -0.017 3.478
4.401 3.786 1.109
0.560 3.797 3.465
4.401 3.786 5.626
0.560 3.797 7.983
5.761 -0.017 7.953
1.920 -0.006 1.138
```

4.
# La2TeOs

La2TeOs after structural relaxation (PBE, Alexandria).

total DFT energy (no corrections)	-5.9765	eV/atom
formation energy without anion corrections	0.080	eV per atom
V	110	Å³/f.u.

The structure in POSCAR format:
```
La2TeOs
1.0
-0.073 -1.395 3.183
-1.873 -2.664 -1.215
7.673 -4.563 -1.824
La Os Te
2 1 1
Cartesian
1.526 -3.515 0.390
7.243 -4.307 -1.722
4.112 -2.445 -0.978
4.356 -5.198 -0.283
```

5.
# La2TeOs

La2TeOs after structural relaxation (PBE, Alexandria).

total DFT energy (no corrections)	-6.7122	eV/atom
formation energy without anion corrections	-0.656	eV per atom
V	122	Å³/f.u.

The structure in POSCAR format:
```
La2TeOs
1.0
-6.482 4.385 -0.064
-7.320 0.946 -2.600
-7.610 0.581 1.729
La Os Te
2 1 1
Cartesian
-21.101 5.826 -0.922
-11.018 3.042 -0.481
-5.353 1.478 -0.234
-16.059 4.434 -0.701
```

6.
# La2TeOs

La2TeOs after structural relaxation (PBE, Alexandria).

total DFT energy (no corrections)	-6.3649	eV/atom
formation energy without anion corrections	-0.308	eV per atom
V	130	Å³/f.u.

The structure in POSCAR format:
```
La2TeOs
1.0
7.741 0.006 0.004
6.404 4.349 0.004
6.404 1.971 3.876
Os La Te
1 2 1
Cartesian
9.627 2.963 1.819
4.300 1.324 0.813
0.778 0.239 0.147
16.120 4.962 3.046
```

| no. | M_tot (μB per atom) |
| --- | --- |
| 1 | 0.000 |
| 2 | 0.000 |
| 3 | 0.000 |
| 4 | 0.000 |
| 5 | 0.000 |
| 6 | 0.000 |